This record from Alexandria via LeMat-Bulk describes an optimized crystal structure of Mg4SnPd2. The functional is PBE.

Calculated values
**Excess energy over the best structure of this formula in the dataset**: 189 meV/atom
**Space-group type**: I4/mmm (139)

abc: 11.0830 11.0830 11.0830
angles: 159.78 159.78 28.75
Fractional coordinates of all 7 atoms:
1 Mg 0.1320 0.1320 0.0000
2 Mg 0.2500 0.7500 0.5000
3 Mg 0.7500 0.2500 0.5000
4 Mg 0.8680 0.8680 0.0000
5 Sn 0.0000 0.0000 0.0000
6 Pd 0.3384 0.3384 0.0000
7 Pd 0.6616 0.6616 0.0000

=====

This record from Alexandria via LeMat-Bulk describes an optimized crystal structure of Mg2SnPd3. The functional is PBE.

Calculated values
**Space-group type**: P-3m1 (164)

abc: 4.5695 4.5695 5.5683
angles: 90.00 90.00 120.00
Fractional coordinates of all 6 atoms:
1 Mg 0.3333 0.6667 0.1618
2 Mg 0.6667 0.3333 0.8382
3 Sn 0.0000 0.0000 0.5000
4 Pd 0.0000 0.0000 0.0000
5 Pd 0.3333 0.6667 0.6681
6 Pd 0.6667 0.3333 0.3319

=====

This record from Alexandria via LeMat-Bulk describes an optimized crystal structure of Mg2Sn2Pd3. The functional is PBE.

Calculated values
**Space-group type**: P-1 (2)

abc: 4.6084 4.6306 7.6246
angles: 90.40 107.50 119.50
Fractional coordinates of all 7 atoms:
1 Mg 0.2385 0.3692 0.1080
2 Mg 0.7615 0.6308 0.8920
3 Sn 0.2850 0.8916 0.6774
4 Sn 0.7150 0.1084 0.3226
5 Pd 0.0160 0.7568 0.2737
6 Pd 0.5000 0.5000 0.5000
7 Pd 0.9840 0.2432 0.7263

=====

This record from Alexandria via LeMat-Bulk describes an optimized crystal structure of Mg2SnPd9. The functional is PBE.

Calculated values
**Space-group type**: P4/mmm (123)

abc: 3.9996 3.9996 11.9286
angles: 90.00 90.00 90.00
Fractional coordinates of all 12 atoms:
1 Mg 0.0000 0.0000 0.1647
2 Mg 0.0000 0.0000 0.8353
3 Sn 0.0000 0.0000 0.5000
4 Pd 0.0000 0.5000 0.0000
5 Pd 0.0000 0.5000 0.3303
6 Pd 0.0000 0.5000 0.6697
7 Pd 0.5000 0.0000 0.0000
8 Pd 0.5000 0.0000 0.3303
9 Pd 0.5000 0.0000 0.6697
10 Pd 0.5000 0.5000 0.1649
11 Pd 0.5000 0.5000 0.5000
12 Pd 0.5000 0.5000 0.8351

=====

no.,ΔE_f (kJ/mol of formula units)
1,-112
2,-411
3,-376
4,-552